Entry from Alexandria via LeMat-Bulk: crystalline VSn3O at its relaxed geometry (PBE+U).

Cell lengths 5.1571, 5.1571, 5.1571 Å; angles 90.00, 90.00, 90.00 degrees
Closest atoms and distances in Å follow each position.
Fractional positions:
V1 0.0000 0.0000 0.0000  6 Sn 2.58
Sn1 0.0000 0.0000 0.5000  2 V 2.58
Sn2 0.0000 0.5000 0.0000  2 V 2.58
Sn3 0.5000 0.0000 0.0000  2 V 2.58
O1 0.5000 0.5000 0.5000  12 Sn 3.65

Results
Offset from the most stable computed form: 0.670 eV/atom
E: -20.5 eV for the cell shown
Volume: 137.2 Å³/f.u.